[1]
DFT (PBE-GGA) results for crystalline Y2ScMo at its relaxed geometry.

Lattice parameters (Å, degrees): 6.544 8.960 3.303 90.00 90.16 90.00
Element x y z (fractional)
Y (0.250, 0.250, 0.000)
Y (0.250, 0.750, 0.000)
Y (0.750, 0.250, 0.000)
Y (0.750, 0.750, 0.000)
Sc (0.000, 0.000, 0.500)
Sc (0.500, 0.500, 0.500)
Mo (0.000, 0.500, 0.500)
Mo (0.500, 0.000, 0.500)

Uncorrected energy ... -28.52 eV/f.u.
Crystal system ... monoclinic

[2]
DFT (PBE-GGA) results for crystalline Y2ScMo at its relaxed geometry.

Lattice parameters (Å, degrees): 3.266 4.900 6.352 90.00 104.71 90.00
Element x y z (fractional)
Y (0.000, 0.000, 0.000)
Y (0.349, 0.500, 0.685)
Sc (0.736, 0.000, 0.443)
Mo (0.592, 0.500, 0.225)

Uncorrected energy ... -29.04 eV/f.u.
Crystal system ... monoclinic

[3]
DFT (PBE-GGA) results for crystalline YScMo at its relaxed geometry.

Lattice parameters (Å, degrees): 5.960 5.960 8.732 90.00 90.00 117.25
Element x y z (fractional)
Y (0.161, 0.839, 0.930)
Y (0.339, 0.661, 0.430)
Y (0.661, 0.339, 0.570)
Y (0.839, 0.161, 0.070)
Sc (0.145, 0.355, 0.750)
Sc (0.355, 0.145, 0.250)
Sc (0.645, 0.855, 0.750)
Sc (0.855, 0.645, 0.250)
Mo (0.082, 0.918, 0.608)
Mo (0.418, 0.582, 0.108)
Mo (0.582, 0.418, 0.892)
Mo (0.918, 0.082, 0.392)

Uncorrected energy ... -22.89 eV/f.u.
Crystal system ... orthorhombic

[4]
DFT (PBE-GGA) results for crystalline Y2ScMo at its relaxed geometry.

Lattice parameters (Å, degrees): 3.649 5.338 10.243 90.00 90.00 90.00
Element x y z (fractional)
Y (0.000, 0.000, 0.000)
Y (0.000, 0.500, 0.208)
Y (0.500, 0.000, 0.708)
Y (0.500, 0.500, 0.500)
Sc (0.000, 0.000, 0.421)
Sc (0.500, 0.500, 0.921)
Mo (0.000, 0.500, 0.731)
Mo (0.500, 0.000, 0.231)

Uncorrected energy ... -29.10 eV/f.u.
Crystal system ... orthorhombic

no.,calculated volume (Å³/atom),N(E_F) (states/eV per cell)
1,24.21,11.7
2,24.58,4.1
3,22.98,12.6
4,24.94,13.8